Entry 1:
PBE Ba2PtO6, optimized geometry; formation energy from raw total energies = -1.281 eV per atom; mass density = 6.64 Mg/m³; calculated volume = 283.0 Å³ per cell; VASP energy = -5.6851 eV/atom; SG = P6_3mc (186); total magnetic moment = 4.10 μB/f.u.; crystal system = hexagonal
1.0
5.898 0.000 0.000
-2.949 5.107 0.000
0.000 0.000 9.394
Ba O Pt
4 12 2
Direct
0.000 0.000 0.106
0.000 0.000 0.606
0.333 0.667 0.870
0.667 0.333 0.370
0.973 0.487 0.635
0.172 0.343 0.369
0.828 0.172 0.869
0.487 0.513 0.135
0.172 0.828 0.369
0.513 0.487 0.635
0.487 0.973 0.135
0.828 0.657 0.869
0.513 0.027 0.635
0.343 0.172 0.869
0.027 0.513 0.135
0.657 0.828 0.369
0.333 0.667 0.260
0.667 0.333 0.760

***

Entry 2:
PBE CsBeAsCl6, optimized geometry; formation energy from raw total energies = -1.109 eV per atom; mass density = 2.61 Mg/m³; calculated volume = 273.1 Å³ per cell; VASP energy = -3.3657 eV/atom; SG = P312 (149); total magnetic moment = 0.00 μB/f.u.; crystal system = trigonal
1.0
-3.081 -1.536 5.308
0.712 -5.761 2.517
6.071 2.622 4.282
As Cl Be Cs
1 6 1 1
Direct
0.333 0.333 0.500
0.974 0.640 0.672
0.386 0.640 0.328
0.974 0.386 0.328
0.386 0.974 0.672
0.640 0.386 0.672
0.640 0.974 0.328
0.667 0.667 0.500
0.000 0.000 0.000

***

Entry 3:
PBE ScSnPCl2, optimized geometry; formation energy from raw total energies = -0.816 eV per atom; mass density = 3.50 Mg/m³; calculated volume = 126.0 Å³ per cell; VASP energy = -4.7039 eV/atom; SG = P4/mmm (123); total magnetic moment = 0.00 μB/f.u.; energy relative to the lowest polymorph listed for this composition = 0.000 eV/f.u.; crystal system = tetragonal
1.0
4.852 0.000 0.000
0.000 4.852 0.000
0.000 0.000 5.349
Sn Cl Sc P
1 2 1 1
Direct
0.500 0.500 0.500
0.500 0.000 0.000
0.000 0.500 0.000
0.000 0.000 0.000
0.000 0.000 0.500